[1]
DFT (PBE) results for a geometry-optimized BaMg2 structure.

total DFT energy (no corrections): -1.657 eV/atom

Lattice parameters (Å, degrees): 7.5244 7.5244 7.5244 133.54 133.54 67.81
With the nearest neighbours (Å) after each atom.
Fractional coordinates of all 6 atoms:
Ba (0.2500, 0.2500, 0.0000)  8 Mg 3.81, 4 Ba 4.20
Ba (0.7500, 0.7500, 0.0000)  8 Mg 3.81, 4 Ba 4.20
Mg (0.1749, 0.6749, 0.8497)  5 Mg 2.94-3.10
Mg (0.3251, 0.1749, 0.5000)  5 Mg 2.94-3.10
Mg (0.6749, 0.8251, 0.5000)  5 Mg 2.94-3.10
Mg (0.8251, 0.3251, 0.1503)  5 Mg 2.94-3.10

***

[2]
DFT (PBE) results for a geometry-optimized Ba8Mg structure.

polymorph energy (0 for the lowest one): 22 meV per atom

Lattice parameters (Å, degrees): 9.5884 9.5884 9.5884 96.43 96.43 140.90
With the nearest neighbours (Å) after each atom.
Fractional coordinates of all 9 atoms:
Ba (0.0000, 0.3190, 0.3190)  1 Mg 4.08, 6 Ba 4.31-4.36
Ba (0.0000, 0.6810, 0.6810)  1 Mg 4.08, 6 Ba 4.31-4.36
Ba (0.3190, 0.0000, 0.3190)  1 Mg 4.08, 6 Ba 4.31-4.36
Ba (0.3405, 0.3405, 0.6809)  8 Ba 4.08-4.36, 2 Mg 4.31
Ba (0.3405, 0.6595, 0.0000)  8 Ba 4.08-4.36, 2 Mg 4.31
Ba (0.6595, 0.3405, 0.0000)  8 Ba 4.08-4.36, 2 Mg 4.31
Ba (0.6595, 0.6595, 0.3191)  8 Ba 4.08-4.36, 2 Mg 4.31
Ba (0.6810, 0.0000, 0.6810)  1 Mg 4.08, 6 Ba 4.31-4.36
Mg (0.0000, 0.0000, 0.0000)  12 Ba 4.08-4.31

***

[3]
DFT (PBE) results for a geometry-optimized BaMg2 structure.

total DFT energy (no corrections): -1.689 eV/atom

Lattice parameters (Å, degrees): 7.2242 5.5787 10.3581 90.00 90.00 90.00
With the nearest neighbours (Å) after each atom.
Fractional coordinates of all 12 atoms:
Ba (0.1669, 0.2500, 0.0739)  10 Mg 3.45-3.86
Ba (0.3331, 0.7500, 0.5739)  10 Mg 3.45-3.86
Ba (0.6669, 0.2500, 0.4261)  10 Mg 3.45-3.86
Ba (0.8331, 0.7500, 0.9261)  10 Mg 3.45-3.86
Mg (0.0366, 0.2500, 0.7126)  3 Mg 3.22-3.33
Mg (0.1443, 0.2500, 0.4108)  3 Mg 3.22-3.33, 4 Ba 3.45-3.53
Mg (0.3557, 0.7500, 0.9108)  3 Mg 3.22-3.33, 4 Ba 3.45-3.53
Mg (0.4634, 0.7500, 0.2126)  3 Mg 3.22-3.33
Mg (0.5366, 0.2500, 0.7874)  3 Mg 3.22-3.33
Mg (0.6443, 0.2500, 0.0892)  3 Mg 3.22-3.33, 4 Ba 3.45-3.53
Mg (0.8557, 0.7500, 0.5892)  3 Mg 3.22-3.33, 4 Ba 3.45-3.53
Mg (0.9634, 0.7500, 0.2874)  3 Mg 3.22-3.33

***

[4]
DFT (PBE) results for a geometry-optimized BaMg3 structure.

total DFT energy (no corrections): -1.613 eV/atom

Lattice parameters (Å, degrees): 7.3428 7.3428 11.4087 90.00 90.00 120.00
With the nearest neighbours (Å) after each atom.
Fractional coordinates of all 16 atoms:
Ba (0.0000, 0.0000, 0.0000)  12 Mg 3.67-3.71
Ba (0.0000, 0.0000, 0.5000)  12 Mg 3.67-3.71
Ba (0.3333, 0.6667, 0.2500)  12 Mg 3.55-3.68
Ba (0.6667, 0.3333, 0.7500)  12 Mg 3.55-3.68
Mg (0.0000, 0.5000, 0.0000)  8 Mg 3.49-3.67, 4 Ba 3.55-3.67
Mg (0.0000, 0.5000, 0.5000)  8 Mg 3.49-3.67, 4 Ba 3.55-3.67
Mg (0.1862, 0.3724, 0.7500)  6 Mg 3.24-3.49
Mg (0.1862, 0.8138, 0.7500)  6 Mg 3.24-3.49
Mg (0.3724, 0.1862, 0.2500)  6 Mg 3.24-3.49
Mg (0.5000, 0.0000, 0.0000)  8 Mg 3.49-3.67, 4 Ba 3.55-3.67
Mg (0.5000, 0.0000, 0.5000)  8 Mg 3.49-3.67, 4 Ba 3.55-3.67
Mg (0.5000, 0.5000, 0.0000)  8 Mg 3.49-3.67, 4 Ba 3.55-3.67
Mg (0.5000, 0.5000, 0.5000)  8 Mg 3.49-3.67, 4 Ba 3.55-3.67
Mg (0.6276, 0.8138, 0.7500)  6 Mg 3.24-3.49
Mg (0.8138, 0.1862, 0.2500)  6 Mg 3.24-3.49
Mg (0.8138, 0.6276, 0.2500)  6 Mg 3.24-3.49

***

[5]
DFT (PBE) results for a geometry-optimized BaMg4 structure.

polymorph energy (0 for the lowest one): 32 meV per atom

Lattice parameters (Å, degrees): 9.3377 9.3377 9.3377 109.47 109.47 109.47
With the nearest neighbours (Å) after each atom.
Fractional coordinates of all 20 atoms:
Ba (0.0000, 0.0000, 0.4284)  7 Mg 3.43-3.82
Ba (0.0000, 0.4284, 0.0000)  7 Mg 3.43-3.82
Ba (0.4284, 0.0000, 0.0000)  7 Mg 3.43-3.82
Ba (0.5716, 0.5716, 0.5716)  7 Mg 3.43-3.82
Mg (0.0000, 0.0000, 0.7957)  6 Mg 3.11-3.16, 1 Ba 3.43
Mg (0.0000, 0.3570, 0.3570)  7 Mg 3.08-3.16
Mg (0.0000, 0.6430, 0.6430)  7 Mg 3.08-3.16
Mg (0.0000, 0.7957, 0.0000)  6 Mg 3.11-3.16, 1 Ba 3.43
Mg (0.2043, 0.2043, 0.2043)  6 Mg 3.11-3.16, 1 Ba 3.43
Mg (0.2500, 0.5000, 0.7500)  4 Mg 3.11
Mg (0.2500, 0.7500, 0.5000)  4 Mg 3.11
Mg (0.3570, 0.0000, 0.3570)  7 Mg 3.08-3.16
Mg (0.3570, 0.3570, 0.0000)  7 Mg 3.08-3.16
Mg (0.5000, 0.2500, 0.7500)  4 Mg 3.11
Mg (0.5000, 0.7500, 0.2500)  4 Mg 3.11
Mg (0.6430, 0.0000, 0.6430)  7 Mg 3.08-3.16
Mg (0.6430, 0.6430, 0.0000)  7 Mg 3.08-3.16
Mg (0.7500, 0.2500, 0.5000)  4 Mg 3.11
Mg (0.7500, 0.5000, 0.2500)  4 Mg 3.11
Mg (0.7957, 0.0000, 0.0000)  6 Mg 3.11-3.16, 1 Ba 3.43

***

[6]
DFT (PBE) results for a geometry-optimized BaMg11 structure.

total DFT energy (no corrections): -1.676 eV/atom

Lattice parameters (Å, degrees): 9.6966 9.6966 9.6966 100.00 100.00 130.76
With the nearest neighbours (Å) after each atom.
Fractional coordinates of all 24 atoms:
Ba (0.3750, 0.6250, 0.7500)  22 Mg 3.90-4.35
Ba (0.6250, 0.3750, 0.2500)  22 Mg 3.90-4.35
Mg (0.0000, 0.0000, 0.0000)  10 Mg 3.04-3.28
Mg (0.0000, 0.0000, 0.5000)  10 Mg 3.04-3.28
Mg (0.0000, 0.5000, 0.0000)  10 Mg 3.04-3.28
Mg (0.1250, 0.8750, 0.2500)  12 Mg 3.28-3.38
Mg (0.1388, 0.5586, 0.3317)  9 Mg 3.04-3.38
Mg (0.1388, 0.8071, 0.5802)  9 Mg 3.04-3.38
Mg (0.1929, 0.2731, 0.3317)  9 Mg 3.04-3.38
Mg (0.1929, 0.8612, 0.9198)  9 Mg 3.04-3.38
Mg (0.2731, 0.1929, 0.8317)  9 Mg 3.04-3.38
Mg (0.2731, 0.4414, 0.0802)  9 Mg 3.04-3.38
Mg (0.4414, 0.2731, 0.5802)  9 Mg 3.04-3.38
Mg (0.4414, 0.8612, 0.1683)  9 Mg 3.04-3.38
Mg (0.5000, 0.0000, 0.5000)  10 Mg 3.04-3.28
Mg (0.5586, 0.1388, 0.8317)  9 Mg 3.04-3.38
Mg (0.5586, 0.7269, 0.4198)  9 Mg 3.04-3.38
Mg (0.7269, 0.5586, 0.9198)  9 Mg 3.04-3.38
Mg (0.7269, 0.8071, 0.1683)  9 Mg 3.04-3.38
Mg (0.8071, 0.1388, 0.0802)  9 Mg 3.04-3.38
Mg (0.8071, 0.7269, 0.6683)  9 Mg 3.04-3.38
Mg (0.8612, 0.1929, 0.4198)  9 Mg 3.04-3.38
Mg (0.8612, 0.4414, 0.6683)  9 Mg 3.04-3.38
Mg (0.8750, 0.1250, 0.7500)  12 Mg 3.28-3.38

***

[7]
DFT (PBE) results for a geometry-optimized BaMg4 structure.

polymorph energy (0 for the lowest one): 742 meV per atom

Lattice parameters (Å, degrees): 6.8583 6.8583 6.8583 109.47 109.47 109.47
With the nearest neighbours (Å) after each atom.
Fractional coordinates of all 5 atoms:
Ba (0.0000, 0.0000, 0.0000)  8 Mg 3.43
Mg (0.0000, 0.0000, 0.5000)  2 Ba 3.43
Mg (0.0000, 0.5000, 0.0000)  2 Ba 3.43
Mg (0.5000, 0.0000, 0.0000)  2 Ba 3.43
Mg (0.5000, 0.5000, 0.5000)  2 Ba 3.43

***

[8]
DFT (PBE) results for a geometry-optimized BaMg4 structure.

polymorph energy (0 for the lowest one): 0 meV per atom

Lattice parameters (Å, degrees): 5.9028 5.9028 5.9028 102.95 102.95 123.49
With the nearest neighbours (Å) after each atom.
Fractional coordinates of all 5 atoms:
Ba (0.0000, 0.0000, 0.0000)  16 Mg 3.57-3.96
Mg (0.1973, 0.4988, 0.6961)  3 Mg 2.90-3.15
Mg (0.4988, 0.8027, 0.3015)  3 Mg 2.90-3.15
Mg (0.5012, 0.1973, 0.6985)  3 Mg 2.90-3.15
Mg (0.8027, 0.5012, 0.3039)  3 Mg 2.90-3.15

***

[9]
DFT (PBE) results for a geometry-optimized BaMg4 structure.

polymorph energy (0 for the lowest one): 1043 meV per atom

Lattice parameters (Å, degrees): 6.5969 6.5969 6.5969 90.00 90.00 90.00
With the nearest neighbours (Å) after each atom.
Fractional coordinates of all 5 atoms:
Ba (0.0000, 0.0000, 0.0000)  6 Mg 3.30
Mg (0.0000, 0.0000, 0.5000)  2 Ba 3.30
Mg (0.0000, 0.5000, 0.0000)  2 Ba 3.30
Mg (0.5000, 0.0000, 0.0000)  2 Ba 3.30
Mg (0.5000, 0.5000, 0.5000)  12 Mg 4.66

***

[10]
DFT (PBE) results for a geometry-optimized BaMg2 structure.

total DFT energy (no corrections): -1.560 eV/atom

Lattice parameters (Å, degrees): 4.2888 4.2888 6.3491 90.00 90.00 90.00
With the nearest neighbours (Å) after each atom.
Fractional coordinates of all 3 atoms:
Ba (0.0000, 0.0000, 0.0000)  8 Mg 3.83, 4 Ba 4.29
Mg (0.0000, 0.5000, 0.5000)  4 Mg 3.03
Mg (0.5000, 0.0000, 0.5000)  4 Mg 3.03

***

[11]
DFT (PBE) results for a geometry-optimized BaMg3 structure.

total DFT energy (no corrections): -1.617 eV/atom

Lattice parameters (Å, degrees): 8.7374 8.7374 8.7374 141.93 141.93 54.94
With the nearest neighbours (Å) after each atom.
Fractional coordinates of all 8 atoms:
Ba (0.1343, 0.1343, 0.0000)  9 Mg 3.37-3.73
Ba (0.8657, 0.8657, 0.0000)  9 Mg 3.37-3.73
Mg (0.0000, 0.5000, 0.5000)  4 Mg 3.45, 4 Ba 3.53
Mg (0.2500, 0.7500, 0.5000)  4 Ba 3.37, 4 Mg 3.45
Mg (0.3752, 0.3752, 0.0000)  8 Mg 3.45, 1 Ba 3.73
Mg (0.5000, 0.0000, 0.5000)  4 Mg 3.45, 4 Ba 3.53
Mg (0.6248, 0.6248, 0.0000)  8 Mg 3.45, 1 Ba 3.73
Mg (0.7500, 0.2500, 0.5000)  4 Ba 3.37, 4 Mg 3.45

***

[12]
DFT (PBE) results for a geometry-optimized Ba13Mg2 structure.

total DFT energy (no corrections): -1.843 eV/atom

Lattice parameters (Å, degrees): 8.3474 10.2530 11.4422 65.18 89.71 79.78
With the nearest neighbours (Å) after each atom.
Fractional coordinates of all 15 atoms:
Ba (0.0000, 0.0000, 0.0000)  2 Mg 3.65
Ba (0.0355, 0.5758, 0.6388)  2 Mg 3.69-3.76
Ba (0.1770, 0.9969, 0.6473)  1 Mg 3.93, 5 Ba 4.28-4.39
Ba (0.2349, 0.5869, 0.0061)  10 Ba 4.31-4.73, 1 Mg 4.33
Ba (0.2984, 0.1004, 0.2480)  1 Mg 3.85, 2 Ba 4.29-4.30
Ba (0.4114, 0.2253, 0.8539)  1 Mg 3.85, 2 Ba 4.18-4.29
Ba (0.4831, 0.3422, 0.4309)  2 Mg 3.76-3.95, 1 Ba 4.21
Ba (0.5169, 0.6578, 0.5691)  2 Mg 3.76-3.95, 1 Ba 4.21
Ba (0.5886, 0.7747, 0.1461)  1 Mg 3.85, 2 Ba 4.18-4.29
Ba (0.7016, 0.8996, 0.7520)  1 Mg 3.85, 2 Ba 4.29-4.30
Ba (0.7651, 0.4131, 0.9939)  10 Ba 4.31-4.73, 1 Mg 4.33
Ba (0.8230, 0.0031, 0.3527)  1 Mg 3.93, 5 Ba 4.28-4.39
Ba (0.9645, 0.4242, 0.3612)  2 Mg 3.69-3.76
Mg (0.1885, 0.7273, 0.3145)  8 Ba 3.65-3.95
Mg (0.8115, 0.2727, 0.6855)  8 Ba 3.65-3.95

***

[13]
DFT (PBE) results for a geometry-optimized BaMg3 structure.

total DFT energy (no corrections): -1.659 eV/atom

Lattice parameters (Å, degrees): 3.6699 4.2653 8.0995 90.00 90.17 90.00
With the nearest neighbours (Å) after each atom.
Fractional coordinates of all 4 atoms:
Ba (0.0000, 0.0000, 0.0000)  2 Ba 3.67, 10 Mg 3.75-4.05
Mg (0.0000, 0.0000, 0.5000)  8 Mg 3.21-3.23
Mg (0.4976, 0.5000, 0.6931)  5 Mg 3.13-3.23
Mg (0.5024, 0.5000, 0.3069)  5 Mg 3.13-3.23

***

[14]
DFT (PBE) results for a geometry-optimized Ba4Mg3 structure.

polymorph energy (0 for the lowest one): 22 meV per atom

Lattice parameters (Å, degrees): 10.6518 10.6518 10.6518 33.73 33.73 33.73
With the nearest neighbours (Å) after each atom.
Fractional coordinates of all 7 atoms:
Ba (0.1234, 0.1234, 0.1234)  7 Mg 3.70-3.80
Ba (0.3745, 0.3745, 0.3745)  5 Mg 3.78-3.86
Ba (0.6255, 0.6255, 0.6255)  5 Mg 3.78-3.86
Ba (0.8766, 0.8766, 0.8766)  7 Mg 3.70-3.80
Mg (0.2462, 0.2462, 0.2462)  8 Ba 3.70-3.86
Mg (0.5000, 0.5000, 0.5000)  8 Ba 3.78-3.80
Mg (0.7538, 0.7538, 0.7538)  8 Ba 3.70-3.86

***

[15]
DFT (PBE) results for a geometry-optimized Ba4Mg3 structure.

polymorph energy (0 for the lowest one): 0 meV per atom

Lattice parameters (Å, degrees): 17.4869 17.4869 17.4869 165.86 165.86 20.05
With the nearest neighbours (Å) after each atom.
Fractional coordinates of all 7 atoms:
Ba (0.0633, 0.0633, 0.0000)  4 Mg 3.75
Ba (0.3351, 0.3351, 0.0000)  5 Mg 3.65-3.76
Ba (0.6649, 0.6649, 0.0000)  5 Mg 3.65-3.76
Ba (0.9367, 0.9367, 0.0000)  4 Mg 3.75
Mg (0.2292, 0.2292, 0.0000)  4 Mg 3.37, 5 Ba 3.65-3.76
Mg (0.5000, 0.5000, 0.0000)  8 Ba 3.75
Mg (0.7708, 0.7708, 0.0000)  4 Mg 3.37, 5 Ba 3.65-3.76

***

[16]
DFT (PBE) results for a geometry-optimized BaMg2 structure.

total DFT energy (no corrections): -1.515 eV/atom

Lattice parameters (Å, degrees): 3.8758 3.8758 8.2712 90.00 90.00 120.00
With the nearest neighbours (Å) after each atom.
Fractional coordinates of all 3 atoms:
Ba (0.0000, 0.0000, 0.0000)  6 Mg 3.76, 6 Ba 3.88
Mg (0.3333, 0.6667, 0.6346)  3 Mg 3.16
Mg (0.6667, 0.3333, 0.3654)  3 Mg 3.16

***

[17]
DFT (PBE) results for a geometry-optimized BaMg2 structure.

total DFT energy (no corrections): -1.683 eV/atom

Lattice parameters (Å, degrees): 6.1066 6.1066 6.8562 102.76 102.76 58.69
With the nearest neighbours (Å) after each atom.
Fractional coordinates of all 6 atoms:
Ba (0.0000, 0.0000, 0.0000)  8 Mg 3.50-3.87
Ba (0.7284, 0.7284, 0.3574)  8 Mg 3.50-3.84
Mg (0.1006, 0.1006, 0.5405)  1 Mg 3.04
Mg (0.3238, 0.3238, 0.9190)  2 Mg 3.04-3.39
Mg (0.4041, 0.4041, 0.4304)  2 Mg 3.05-3.39
Mg (0.6253, 0.6253, 0.8143)  1 Mg 3.05

***

[18]
DFT (PBE) results for a geometry-optimized BaMg2 structure.

total DFT energy (no corrections): -1.792 eV/atom

Lattice parameters (Å, degrees): 6.6567 6.6567 10.5998 90.00 90.00 120.00
With the nearest neighbours (Å) after each atom.
Fractional coordinates of all 12 atoms:
Ba (0.3333, 0.6667, 0.0568)  12 Mg 3.81-3.91, 4 Ba 4.03-4.09
Ba (0.3333, 0.6667, 0.4432)  12 Mg 3.81-3.91, 4 Ba 4.03-4.09
Ba (0.6667, 0.3333, 0.5568)  12 Mg 3.81-3.91, 4 Ba 4.03-4.09
Ba (0.6667, 0.3333, 0.9432)  12 Mg 3.81-3.91, 4 Ba 4.03-4.09
Mg (0.0000, 0.0000, 0.0000)  6 Mg 3.24
Mg (0.0000, 0.0000, 0.5000)  6 Mg 3.24
Mg (0.1619, 0.3238, 0.7500)  6 Mg 3.23-3.42
Mg (0.1619, 0.8381, 0.7500)  6 Mg 3.23-3.42
Mg (0.3238, 0.1619, 0.2500)  6 Mg 3.23-3.42
Mg (0.6762, 0.8381, 0.7500)  6 Mg 3.23-3.42
Mg (0.8381, 0.1619, 0.2500)  6 Mg 3.23-3.42
Mg (0.8381, 0.6762, 0.2500)  6 Mg 3.23-3.42

***

[19]
DFT (PBE) results for a geometry-optimized Ba3Mg4 structure.

polymorph energy (0 for the lowest one): 0 meV per atom

Lattice parameters (Å, degrees): 16.2489 16.2489 16.2489 165.27 165.27 20.89
With the nearest neighbours (Å) after each atom.
Fractional coordinates of all 7 atoms:
Ba (0.0000, 0.0000, 0.0000)  10 Mg 3.79-3.81, 4 Ba 4.17
Ba (0.3073, 0.3073, 0.0000)  5 Mg 3.75-3.78, 4 Ba 4.17
Ba (0.6927, 0.6927, 0.0000)  5 Mg 3.75-3.78, 4 Ba 4.17
Mg (0.1184, 0.1184, 0.0000)  4 Mg 3.25
Mg (0.4246, 0.4246, 0.0000)  4 Mg 3.25
Mg (0.5754, 0.5754, 0.0000)  4 Mg 3.25
Mg (0.8816, 0.8816, 0.0000)  4 Mg 3.25

***

[20]
DFT (PBE) results for a geometry-optimized BaMg2 structure.

total DFT energy (no corrections): -1.632 eV/atom

Lattice parameters (Å, degrees): 5.9480 5.9480 7.0561 90.00 90.00 120.00
With the nearest neighbours (Å) after each atom.
Fractional coordinates of all 6 atoms:
Ba (0.3333, 0.6667, 0.2500)  5 Mg 3.43-3.53
Ba (0.6667, 0.3333, 0.7500)  5 Mg 3.43-3.53
Mg (0.0000, 0.0000, 0.0000)  8 Mg 3.53-3.86, 6 Ba 3.86
Mg (0.0000, 0.0000, 0.5000)  8 Mg 3.53-3.86, 6 Ba 3.86
Mg (0.3333, 0.6667, 0.7500)  5 Ba 3.43-3.53
Mg (0.6667, 0.3333, 0.2500)  5 Ba 3.43-3.53